Entry 1:
A relaxed PmSmSiBr crystal. Source: the Alexandria database, functional GGA-PBE.

Properties
Space group: No. 160
Formation energy from raw total energies (eV per atom): -1.035
Energy (eV per atom): -5.18
Mass density (Mg/m³): 5.9

a = 4.1755 Å, b = 4.1757 Å, c = 7.9291 Å
α = 90.01°, β = 105.26°, γ = 120.00°
Last column: nearest neighbours and their distance in Å.
Atoms (fractional coordinates):
Br1 0.9641 0.3801 0.3592  3 Sm 3.23, 3 Pm 3.33
Si1 0.3063 0.5511 0.8727  3 Sm 2.85, 3 Pm 2.88
Sm1 0.1073 0.9516 0.0741  3 Si 2.85
Pm1 0.5003 0.1480 0.6636  3 Si 2.88



Entry 2:
A relaxed Pm6Si2SnBr3 crystal. Source: the Alexandria database, functional GGA-PBE.

Properties
Space group: No. 12
Formation energy from raw total energies (eV per atom): -1.043
Energy (eV per atom): -5.07
Mass density (Mg/m³): 6.1

a = 4.3098 Å, b = 8.8061 Å, c = 9.8086 Å
α = 103.67°, β = 102.69°, γ = 90.00°
Last column: nearest neighbours and their distance in Å.
Atoms (fractional coordinates):
Br1 0.8342 0.1639 0.6683  6 Pm 3.14-3.35
Pm1 0.6765 0.5673 0.3530  3 Si 2.89-2.91
Pm2 0.0145 0.2520 0.0290  1 Si 2.85, 2 Sn 3.06, 2 Br 3.13
Sn1 0.5000 0.0000 0.0000  6 Pm 3.06-3.11
Pm3 0.3334 0.8770 0.6668  2 Si 2.88, 1 Sn 3.11, 1 Br 3.14
Br2 0.1658 0.8361 0.3317  6 Pm 3.14-3.35
Pm4 0.3235 0.4327 0.6470  3 Si 2.89-2.91
Pm5 0.6666 0.1230 0.3332  2 Si 2.88, 1 Sn 3.11, 1 Br 3.14
Pm6 0.9855 0.7480 0.9710  1 Si 2.85, 2 Sn 3.06, 2 Br 3.13
Si1 0.8319 0.6590 0.6638  6 Pm 2.85-2.91
Si2 0.1681 0.3410 0.3362  6 Pm 2.85-2.91
Br3 0.5000 0.5000 0.0000  6 Pm 3.13-3.28



Entry 3:
A relaxed Pm6SiTc2Br3 crystal. Source: the Alexandria database, functional GGA-PBE.

Properties
Space group: No. 12
Formation energy from raw total energies (eV per atom): -0.666
Energy (eV per atom): -5.64
Mass density (Mg/m³): 6.5

a = 7.0540 Å, b = 7.0540 Å, c = 8.1717 Å
α = 98.53°, β = 98.53°, γ = 118.60°
Last column: nearest neighbours and their distance in Å.
Atoms (fractional coordinates):
Pm1 0.9350 0.5815 0.8138  2 Tc 2.77-3.00, 1 Si 2.90
Pm2 0.5815 0.9350 0.8138  2 Tc 2.77-3.00, 1 Si 2.90
Br1 0.8274 0.1726 0.5000  6 Pm 3.19-3.49
Pm3 0.4185 0.0650 0.1862  2 Tc 2.77-3.00, 1 Si 2.90
Br2 0.1726 0.8274 0.5000  6 Pm 3.19-3.49
Tc1 0.6353 0.3647 0.0000  6 Pm 2.74-3.00
Pm4 0.0650 0.4185 0.1862  2 Tc 2.77-3.00, 1 Si 2.90
Pm5 0.7514 0.7514 0.2288  2 Tc 2.74, 1 Si 2.94
Pm6 0.2486 0.2486 0.7712  2 Tc 2.74, 1 Si 2.94
Tc2 0.3647 0.6353 0.0000  6 Pm 2.74-3.00
Si1 0.0000 0.0000 0.0000  6 Pm 2.90-2.94
Br3 0.5000 0.5000 0.5000  6 Pm 3.24-3.44



Entry 4:
A relaxed Pm4SiTeBr2 crystal. Source: the Alexandria database, functional GGA-PBE.

Properties
Space group: No. 10
Formation energy from raw total energies (eV per atom): -1.187
Energy (eV per atom): -5.05
Mass density (Mg/m³): 6.3

a = 4.3072 Å, b = 7.7268 Å, c = 7.4790 Å
α = 109.55°, β = 90.00°, γ = 90.00°
Last column: nearest neighbours and their distance in Å.
Atoms (fractional coordinates):
Si1 0.5000 0.5000 0.0000  6 Pm 2.79-2.86
Pm1 0.0000 0.7120 0.2157  2 Si 2.86, 1 Br 3.09, 1 Te 3.16
Br1 0.5000 0.0000 0.5000  6 Pm 3.31-3.43
Pm2 0.5000 0.7206 0.7720  1 Si 2.79, 2 Br 3.06
Br2 0.0000 0.5000 0.5000  6 Pm 3.06-3.09
Pm3 0.0000 0.2880 0.7843  2 Si 2.86, 1 Br 3.09, 1 Te 3.16
Pm4 0.5000 0.2794 0.2280  1 Si 2.79, 2 Br 3.06
Te1 0.0000 0.0000 0.0000  6 Pm 3.12-3.16



Entry 5:
A relaxed Pm8Si3Te4Br crystal. Source: the Alexandria database, functional GGA-PBE.

Properties
Space group: No. 166
Formation energy from raw total energies (eV per atom): -1.212
Energy (eV per atom): -5.49
Mass density (Mg/m³): 6.5

a = 8.6659 Å, b = 8.8169 Å, c = 8.6657 Å
α = 119.43°, β = 120.00°, γ = 90.00°
Last column: nearest neighbours and their distance in Å.
Atoms (fractional coordinates):
Pm1 0.7507 0.2757 0.5015  2 Si 2.94, 1 Br 3.08, 3 Te 3.11-3.25
Te1 0.5000 0.0000 0.0000  6 Pm 3.11
Te2 0.0000 0.0000 0.0000  6 Pm 3.21-3.25
Pm2 0.2493 0.7243 0.4985  2 Si 2.94, 1 Br 3.08, 3 Te 3.11-3.25
Si1 0.5000 0.5000 0.5000  6 Pm 2.94-2.98
Pm3 0.2496 0.7244 0.9746  2 Si 2.94, 1 Br 3.09, 3 Te 3.11-3.25
Pm4 0.2750 0.2756 0.0254  2 Si 2.94, 1 Br 3.09, 3 Te 3.11-3.25
Pm5 0.2592 0.2778 0.5184  3 Si 2.98, 3 Te 3.21
Pm6 0.7250 0.7244 0.9746  2 Si 2.94, 1 Br 3.09, 3 Te 3.11-3.25
Te3 0.5000 0.0000 0.5000  6 Pm 3.21-3.25
Si2 0.0000 0.5000 0.5000  6 Pm 2.94-2.98
Te4 0.0000 0.0000 0.5000  6 Pm 3.21-3.25
Si3 0.5000 0.5000 0.0000  6 Pm 2.94-2.98
Pm7 0.7504 0.2756 0.0254  2 Si 2.94, 1 Br 3.09, 3 Te 3.11-3.25
Pm8 0.7408 0.7222 0.4816  3 Si 2.98, 3 Te 3.21
Br1 0.0000 0.5000 0.0000  6 Pm 3.08-3.09



Entry 6:
A relaxed Pm2SmBr crystal. Source: the Alexandria database, functional GGA-PBE.

Properties
Space group: No. 166
ΔE to the lowest computed polymorph (meV per atom): 0
Formation energy from raw total energies (eV per atom): -0.557
Energy (eV per atom): -4.53
Mass density (Mg/m³): 6.9

a = 3.7213 Å, b = 3.7213 Å, c = 10.7169 Å
α = 80.00°, β = 80.00°, γ = 60.00°
Last column: nearest neighbours and their distance in Å.
Atoms (fractional coordinates):
Pm1 0.2580 0.2580 0.2258  3 Br 3.20
Sm1 0.5000 0.5000 0.5000  6 Pm 3.59, 6 Sm 3.72
Pm2 0.7420 0.7420 0.7742  3 Br 3.20
Br1 0.0000 0.0000 0.0000  6 Pm 3.20



Look up the energy of the fourth one.
-5.05 eV per atom